{
  "formula": "KHPb3",
  "functional": "GGA-PBE",
  "state": "optimized geometry",
  "lattice_angstrom": [[-4.994, -0.614, 3.521], [3.545, -0.074, 5.015], [-0.459, 6.110, 0.415]],
  "species": ["Pb", "Pb", "Pb", "H", "K"],
  "frac_coords": [[0.000, 0.500, 0.000], [0.000, 0.000, 0.500], [0.500, 0.000, 0.000], [0.500, 0.500, 0.500], [0.000, 0.000, 0.000]],
  "relative_energy_mev_per_atom": 1234.6
}

=====

{
  "formula": "KH2Pb",
  "functional": "GGA-PBE",
  "state": "optimized geometry",
  "lattice_angstrom": [[-0.438, 6.421, -0.862], [-5.824, 0.221, 4.605], [4.357, 1.030, 5.461]],
  "species": ["K", "K", "K", "K", "H", "H", "H", "H", "H", "H", "H", "H", "Pb", "Pb", "Pb", "Pb"],
  "frac_coords": [[0.750, 0.852, 0.862], [0.250, 0.352, 0.638], [0.250, 0.148, 0.138], [0.750, 0.648, 0.362], [0.035, 0.839, 0.137], [0.965, 0.339, 0.363], [0.965, 0.161, 0.863], [0.035, 0.661, 0.637], [0.535, 0.162, 0.863], [0.535, 0.338, 0.363], [0.465, 0.838, 0.137], [0.465, 0.662, 0.637], [0.250, 0.659, 0.130], [0.750, 0.341, 0.870], [0.750, 0.159, 0.370], [0.250, 0.841, 0.630]],
  "relative_energy_mev_per_atom": 0.0
}

=====

{
  "formula": "K2H2Pb",
  "functional": "GGA-PBE",
  "state": "optimized geometry",
  "lattice_angstrom": [[-3.759, 6.320, 2.563], [-3.494, -4.298, 5.474], [2.854, 0.727, 2.393]],
  "species": ["Pb", "Pb", "H", "H", "H", "H", "K", "K", "K", "K"],
  "frac_coords": [[0.000, 0.000, 0.000], [0.500, 0.500, 0.000], [0.332, 0.832, 0.000], [0.832, 0.668, 0.000], [0.668, 0.168, 0.000], [0.168, 0.332, 0.000], [0.148, 0.648, 0.500], [0.648, 0.852, 0.500], [0.852, 0.352, 0.500], [0.352, 0.148, 0.500]],
  "relative_energy_mev_per_atom": 0.0
}

=====

{
  "formula": "K12H5Pb3",
  "functional": "GGA-PBE",
  "state": "optimized geometry",
  "lattice_angstrom": [[-0.420, 15.865, -0.152], [-8.775, -5.409, 12.068], [15.000, -4.879, 1.762]],
  "species": ["Pb", "Pb", "Pb", "Pb", "Pb", "Pb", "Pb", "Pb", "Pb", "Pb", "Pb", "Pb", "H", "H", "H", "H", "H", "H", "H", "H", "H", "H", "H", "H", "H", "H", "H", "H", "H", "H", "H", "H", "K", "K", "K", "K", "K", "K", "K", "K", "K", "K", "K", "K", "K", "K", "K", "K", "K", "K", "K", "K", "K", "K", "K", "K", "K", "K", "K", "K", "K", "K", "K", "K", "K", "K", "K", "K", "K", "K", "K", "K", "K", "K", "K", "K", "K", "K", "K", "K"],
  "frac_coords": [[0.750, 0.375, 0.125], [0.875, 0.750, 0.125], [0.375, 0.750, 0.625], [0.250, 0.125, 0.375], [0.875, 0.125, 0.250], [0.375, 0.625, 0.250], [0.625, 0.375, 0.750], [0.125, 0.875, 0.750], [0.750, 0.875, 0.625], [0.625, 0.250, 0.375], [0.125, 0.250, 0.875], [0.250, 0.625, 0.875], [0.125, 0.375, 0.250], [0.000, 0.500, 0.000], [0.000, 0.000, 0.000], [0.375, 0.250, 0.125], [0.500, 0.000, 0.500], [0.500, 0.500, 0.000], [0.125, 0.750, 0.375], [0.750, 0.125, 0.875], [0.750, 0.625, 0.375], [0.375, 0.125, 0.750], [0.625, 0.875, 0.250], [0.500, 0.500, 0.500], [0.500, 0.000, 0.000], [0.000, 0.000, 0.500], [0.250, 0.375, 0.625], [0.250, 0.875, 0.125], [0.000, 0.500, 0.500], [0.875, 0.250, 0.625], [0.625, 0.750, 0.875], [0.875, 0.625, 0.750], [0.699, 0.114, 0.015], [0.316, 0.515, 0.401], [0.985, 0.386, 0.301], [0.515, 0.199, 0.114], [0.585, 0.699, 0.684], [0.985, 0.599, 0.184], [0.316, 0.801, 0.415], [0.099, 0.915, 0.114], [0.599, 0.985, 0.684], [0.699, 0.585, 0.184], [0.801, 0.485, 0.386], [0.816, 0.901, 0.015], [0.114, 0.699, 0.515], [0.386, 0.401, 0.085], [0.085, 0.901, 0.386], [0.415, 0.114, 0.599], [0.085, 0.184, 0.199], [0.485, 0.684, 0.099], [0.816, 0.915, 0.301], [0.114, 0.415, 0.099], [0.386, 0.985, 0.801], [0.599, 0.614, 0.415], [0.901, 0.816, 0.515], [0.801, 0.316, 0.915], [0.401, 0.386, 0.585], [0.099, 0.184, 0.485], [0.199, 0.684, 0.085], [0.184, 0.085, 0.699], [0.614, 0.015, 0.199], [0.886, 0.585, 0.901], [0.515, 0.316, 0.901], [0.585, 0.886, 0.401], [0.915, 0.816, 0.801], [0.915, 0.099, 0.614], [0.886, 0.301, 0.485], [0.184, 0.099, 0.985], [0.614, 0.599, 0.915], [0.401, 0.015, 0.316], [0.301, 0.415, 0.816], [0.199, 0.515, 0.614], [0.901, 0.085, 0.886], [0.684, 0.199, 0.585], [0.485, 0.801, 0.886], [0.015, 0.401, 0.816], [0.415, 0.301, 0.316], [0.015, 0.614, 0.699], [0.684, 0.485, 0.599], [0.301, 0.886, 0.985]]
}

=====

{
  "formula": "KH4Pd2Pb",
  "functional": "GGA-PBE",
  "state": "optimized geometry",
  "lattice_angstrom": [[3.523, 0.000, 0.000], [0.000, 3.523, 0.000], [0.000, 0.000, 8.915]],
  "species": ["K", "H", "H", "H", "H", "Pd", "Pd", "Pb"],
  "frac_coords": [[0.000, 0.000, 0.000], [0.000, 0.500, 0.241], [0.500, 0.000, 0.759], [0.500, 0.000, 0.241], [0.000, 0.500, 0.759], [0.500, 0.500, 0.278], [0.500, 0.500, 0.722], [0.000, 0.000, 0.500]]
}

=====

{
  "formula": "KH6PtPb",
  "functional": "GGA-PBE",
  "state": "optimized geometry",
  "lattice_angstrom": [[-4.086, 4.014, -0.190], [-4.075, -0.209, -4.027], [-2.659, -2.573, 2.825]],
  "species": ["K", "H", "H", "H", "H", "H", "H", "Pt", "Pb"],
  "frac_coords": [[0.000, 0.000, 0.000], [0.104, 0.336, 0.280], [0.336, 0.104, 0.721], [0.559, 0.337, 0.720], [0.102, 0.562, 0.719], [0.336, 0.560, 0.280], [0.562, 0.102, 0.282], [0.333, 0.333, 0.500], [0.666, 0.667, 0.500]]
}

=====

{
  "formula": "KRb2HPb",
  "functional": "GGA-PBE",
  "state": "optimized geometry",
  "lattice_angstrom": [[-4.330, -3.948, 0.772], [2.012, -1.144, 5.439], [-3.256, 3.970, 2.040]],
  "species": ["Pb", "H", "K", "Rb", "Rb"],
  "frac_coords": [[0.500, 0.500, 0.500], [0.000, 0.000, 0.000], [0.000, 0.000, 0.500], [0.000, 0.500, 0.000], [0.500, 0.000, 0.000]]
}

=====

{
  "formula": "K2H6RhPb",
  "functional": "GGA-PBE",
  "state": "optimized geometry",
  "lattice_angstrom": [[6.318, 0.000, 0.000], [0.000, 5.691, 0.000], [0.000, -2.845, 4.928]],
  "species": ["K", "K", "H", "H", "H", "H", "H", "H", "Rh", "Pb"],
  "frac_coords": [[0.155, 0.333, 0.667], [0.845, 0.667, 0.333], [0.839, 0.137, 0.274], [0.839, 0.137, 0.863], [0.839, 0.726, 0.863], [0.161, 0.863, 0.137], [0.161, 0.274, 0.137], [0.161, 0.863, 0.726], [0.000, 0.000, 0.000], [0.500, 0.000, 0.000]]
}

=====

{
  "formula": "KH2RuPb",
  "functional": "GGA-PBE",
  "state": "optimized geometry",
  "lattice_angstrom": [[-1.481, -1.515, -3.483], [-0.808, -3.527, 1.878], [-5.530, 2.046, 1.462]],
  "species": ["Pb", "Ru", "K", "H", "H"],
  "frac_coords": [[0.500, 0.500, 0.500], [0.000, 0.000, 0.500], [0.000, 0.000, 0.000], [0.000, 0.500, 0.000], [0.500, 0.000, 0.000]]
}

=====

{
  "formula": "K2H6RuPb",
  "functional": "GGA-PBE",
  "state": "optimized geometry",
  "lattice_angstrom": [[-1.033, 5.438, -2.296], [-5.087, -1.927, -2.275], [0.116, 2.312, 5.423]],
  "species": ["K", "K", "H", "H", "H", "H", "H", "H", "Ru", "Pb"],
  "frac_coords": [[0.133, 0.333, 0.667], [0.867, 0.667, 0.333], [0.836, 0.141, 0.282], [0.836, 0.141, 0.859], [0.836, 0.718, 0.859], [0.164, 0.859, 0.141], [0.164, 0.282, 0.141], [0.164, 0.859, 0.718], [0.000, 0.000, 0.000], [0.500, 0.000, 0.000]]
}

=====

{
  "formula": "K2SiHPb",
  "functional": "GGA-PBE",
  "state": "optimized geometry",
  "lattice_angstrom": [[-5.618, 0.605, 1.452], [-0.778, -3.385, -1.599], [1.032, -2.645, 5.097]],
  "species": ["Pb", "H", "K", "K", "Si"],
  "frac_coords": [[0.500, 0.500, 0.500], [0.000, 0.000, 0.000], [0.000, 0.000, 0.500], [0.500, 0.000, 0.000], [0.000, 0.500, 0.000]]
}

=====

{
  "formula": "KSr2HPb",
  "functional": "GGA-PBE",
  "state": "optimized geometry",
  "lattice_angstrom": [[-1.380, -5.262, -0.527], [1.858, -0.992, 5.044], [-4.616, 1.021, 1.901]],
  "species": ["Pb", "Sr", "Sr", "K", "H"],
  "frac_coords": [[0.500, 0.500, 0.500], [0.000, 0.500, 0.000], [0.500, 0.000, 0.000], [0.000, 0.000, 0.500], [0.000, 0.000, 0.000]]
}

=====

no.,electronic total energy (eV per atom)
1,-1.753
2,-2.868
3,-2.409
4,-2.082
5,-3.707
6,-3.519
7,-2.048
8,-3.459
9,-2.872
10,-3.556
11,-2.681
12,-2.637